A PBEsol-optimized structure of TlRu2Se. Source: Alexandria via LeMat-Bulk, functional SCAN.

The structure in POSCAR format:
```
TlRu2Se
1.0
3.0398 0.0000 0.0000
0.0000 5.3523 0.0000
0.0000 0.0000 8.3784
Tl Ru Se
2 4 2
direct
0.0000 0.0000 0.0000
0.5000 0.5000 0.0000
0.0000 0.5000 0.2778
0.0000 0.5000 0.7222
0.5000 0.0000 0.2778
0.5000 0.0000 0.7222
0.0000 0.0000 0.5000
0.5000 0.5000 0.5000
```

Calculated values
- M_tot (μB/atom) = 0.000
- E above lowest polymorph (meV per atom) = 325
- ρ (g/cm³) = 11.8
- raw formation energy (eV/f.u.) = 2.836
- uncorrected energy (eV per atom) = -39.813
- symmetry = Cmmm

=====

A PBEsol-optimized structure of Y2TaW. Source: Alexandria via LeMat-Bulk, functional SCAN.

The structure in POSCAR format:
```
Y2TaW
1.0
4.1020 0.0000 0.0000
0.0000 4.1148 0.0000
0.0000 0.0000 4.9750
Y Ta W
2 1 1
direct
0.0000 0.0000 0.0000
0.5000 0.5000 0.0000
0.0000 0.5000 0.5000
0.5000 0.0000 0.5000
```

Calculated values
- formation energy from the elements (eV per atom) = 0.6314
- M_tot (μB/atom) = 0.000
- E above lowest polymorph (meV per atom) = 291
- ρ (g/cm³) = 10.7
- uncorrected energy (eV per atom) = -47.358
- symmetry = Pmmm

=====

A PBEsol-optimized structure of AlRu2Cl. Source: Alexandria via LeMat-Bulk, functional SCAN.

The structure in POSCAR format:
```
AlRu2Cl
1.0
2.8849 0.0000 0.0000
-1.4425 2.4984 0.0000
0.0000 0.0000 23.9307
Al Ru Cl
3 6 3
direct
0.0000 0.0000 0.0000
0.3333 0.6667 0.6667
0.6667 0.3333 0.3333
0.0000 0.0000 0.2539
0.0000 0.0000 0.5058
0.3333 0.6667 0.1725
0.3333 0.6667 0.9205
0.6667 0.3333 0.5872
0.6667 0.3333 0.8391
0.0000 0.0000 0.7429
0.3333 0.6667 0.4095
0.6667 0.3333 0.0762
```

Calculated values
- M_tot (μB/atom) = 0.000
- E above lowest polymorph (meV per atom) = 0
- ρ (g/cm³) = 7.6
- raw formation energy (eV/f.u.) = 0.008
- uncorrected energy (eV per atom) = -21.344
- symmetry = R3m

=====

A PBEsol-optimized structure of CoPbSe3. Source: Alexandria via LeMat-Bulk, functional SCAN.

The structure in POSCAR format:
```
CoPbSe3
1.0
5.3086 0.0000 0.0000
0.0000 5.3086 0.0000
0.0000 0.0000 5.3086
Co Pb Se
1 1 3
direct
0.0000 0.0000 0.0000
0.5000 0.5000 0.5000
0.0000 0.5000 0.5000
0.5000 0.0000 0.5000
0.5000 0.5000 0.0000
```

Calculated values
- M_tot (μB/atom) = 0.669
- ρ (g/cm³) = 5.6
- raw formation energy (eV/f.u.) = 5.252
- uncorrected energy (eV per atom) = -29.614
- symmetry = Pm-3m

=====

Which value of M_tot does entry 2 give? 0.000 μB/atom

=====

Copy entry 2 word for word.
A PBEsol-optimized structure of Y2TaW. Source: Alexandria via LeMat-Bulk, functional SCAN.

The structure in POSCAR format:
```
Y2TaW
1.0
4.1020 0.0000 0.0000
0.0000 4.1148 0.0000
0.0000 0.0000 4.9750
Y Ta W
2 1 1
direct
0.0000 0.0000 0.0000
0.5000 0.5000 0.0000
0.0000 0.5000 0.5000
0.5000 0.0000 0.5000
```

Calculated values
- formation energy from the elements (eV per atom) = 0.6314
- M_tot (μB/atom) = 0.000
- E above lowest polymorph (meV per atom) = 291
- ρ (g/cm³) = 10.7
- uncorrected energy (eV per atom) = -47.358
- symmetry = Pmmm

=====

Among the records above, which one has the highest M_tot? CoPbSe3